--- 1 ---
A relaxed structure of HgPtNF2, computed with PBE.

Space group: P4/mmm, No. 123
Fermi-level density of states in states/eV/f.u.: 2.7

Cell: 4.5766 4.5766 3.7114 Å, 90.00 90.00 90.00°
Atoms (fractional coordinates):
N (0.0000, 0.0000, 0.5000)
Hg (0.5000, 0.5000, 0.5000)
Pt (0.0000, 0.0000, 0.0000)
F (0.0000, 0.5000, 0.0000)
F (0.5000, 0.0000, 0.0000)

***

--- 2 ---
A relaxed structure of HgPtNF2, computed with PBE.

Space group: P4/mmm, No. 123
Fermi-level density of states in states/eV/f.u.: 7.5

Cell: 4.4568 4.4568 4.2527 Å, 90.00 90.00 90.00°
Site moments in Bohr magnetons follow the coordinates.
Atoms (fractional coordinates):
N (0.0000, 0.0000, 0.5000)  0.89
Hg (0.0000, 0.0000, 0.0000)  0.05
Pt (0.5000, 0.5000, 0.5000)  0.87
F (0.0000, 0.5000, 0.0000)  0.04
F (0.5000, 0.0000, 0.0000)  0.04

***

Which of them is the most stable? Correct choice: 1.

***

--- 1 ---
A relaxed structure of RbHgNF2, computed with PBE.

Space group: P4/mmm, No. 123
Fermi-level density of states in states/eV/f.u.: 1.4

Cell: 4.9340 4.9340 4.1795 Å, 90.00 90.00 90.00°
Site moments in Bohr magnetons follow the coordinates.
Atoms (fractional coordinates):
N (0.0000, 0.0000, 0.5000)  1.14
Hg (0.0000, 0.0000, 0.0000)  0.10
Rb (0.5000, 0.5000, 0.5000)  0.00
F (0.0000, 0.5000, 0.0000)  0.06
F (0.5000, 0.0000, 0.0000)  0.06

***

--- 2 ---
A relaxed structure of RbHgNF2, computed with PBE.

Space group: P4/mmm, No. 123
Fermi-level density of states in states/eV/f.u.: 6.8

Cell: 5.1216 5.1216 5.7093 Å, 90.00 90.00 90.00°
Site moments in Bohr magnetons follow the coordinates.
Atoms (fractional coordinates):
N (0.0000, 0.0000, 0.5000)  1.89
Hg (0.5000, 0.5000, 0.5000)  -0.16
Rb (0.0000, 0.0000, 0.0000)  0.07
F (0.0000, 0.5000, 0.0000)  0.12
F (0.5000, 0.0000, 0.0000)  0.12

***

Which of them is the most stable? Correct choice: 1.

***

--- 1 ---
A relaxed structure of RbHgN2F, computed with PBE.

Space group: P4/mmm, No. 123
Fermi-level density of states in states/eV/f.u.: 2.9

Cell: 4.3472 4.3472 5.3138 Å, 90.00 90.00 90.00°
Site moments in Bohr magnetons follow the coordinates.
Atoms (fractional coordinates):
N (0.0000, 0.5000, 0.0000)  1.12
N (0.5000, 0.0000, 0.0000)  1.12
Hg (0.0000, 0.0000, 0.0000)  0.15
Rb (0.5000, 0.5000, 0.5000)  0.01
F (0.0000, 0.0000, 0.5000)  0.06

***

--- 2 ---
A relaxed structure of RbHgN2F, computed with PBE.

Space group: P4/mmm, No. 123
Fermi-level density of states in states/eV/f.u.: 1.1

Cell: 6.1276 6.1276 5.0407 Å, 90.00 90.00 90.00°
Site moments in Bohr magnetons follow the coordinates.
Atoms (fractional coordinates):
N (0.0000, 0.5000, 0.0000)  1.91
N (0.5000, 0.0000, 0.0000)  1.91
Hg (0.5000, 0.5000, 0.5000)  0.06
Rb (0.0000, 0.0000, 0.0000)  0.03
F (0.0000, 0.0000, 0.5000)  0.07

***

Which of them is the most stable? Correct choice: 1.

***

--- 1 ---
A relaxed structure of ReHgN2F, computed with PBE.

Space group: P4/mmm, No. 123
Fermi-level density of states in states/eV/f.u.: 2.4

Cell: 4.2291 4.2291 4.3251 Å, 90.00 90.00 90.00°
Site moments in Bohr magnetons follow the coordinates.
Atoms (fractional coordinates):
Re (0.5000, 0.5000, 0.5000)  3.81
N (0.0000, 0.5000, 0.0000)  -0.45
N (0.5000, 0.0000, 0.0000)  -0.45
Hg (0.0000, 0.0000, 0.0000)  -0.02
F (0.0000, 0.0000, 0.5000)  0.07

***

--- 2 ---
A relaxed structure of ReHgN2F, computed with PBE.

Space group: P4/mmm, No. 123
Fermi-level density of states in states/eV/f.u.: 1.9

Cell: 3.9185 3.9185 4.3396 Å, 90.00 90.00 90.00°
Atoms (fractional coordinates):
Re (0.0000, 0.0000, 0.0000)
N (0.0000, 0.5000, 0.0000)
N (0.5000, 0.0000, 0.0000)
Hg (0.5000, 0.5000, 0.5000)
F (0.0000, 0.0000, 0.5000)

***

Which of them is the most stable? Correct choice: 2.